VASP calculation (SCAN) on a crystal of Tb3Ga5 relaxed with PBEsol.

The space group is Pnma (No. 62) and the conventional cell measures 11.3366, 9.5603 and 6.0332 Å, with angles of 90.00, 90.00 and 90.00 degrees. The asymmetric unit holds Tb at (0.0744, 0.2500, 0.1541), Tb at (0.1483, 0.5096, 0.6103), Ga at (0.0051, 0.2500, 0.6329), Ga at (0.0898, 0.5531, 0.1257), Ga at (0.1990, 0.7500, 0.9017) and Ga at (0.2477, 0.7500, 0.3267).

For the density of states at the Fermi level, the calculation gives 3.9 states/eV/f.u.

=====

VASP calculation (SCAN) on a crystal of TbGa3 relaxed with PBEsol.

The space group is Pm-3m (No. 221) and the conventional cell measures 4.2082, 4.2082 and 4.2082 Å, with angles of 90.00, 90.00 and 90.00 degrees. The asymmetric unit holds Tb at (0.0000, 0.0000, 0.0000) and Ga at (0.0000, 0.5000, 0.5000).

For the density of states at the Fermi level, the calculation gives 1.6 states/eV/f.u.

=====

VASP calculation (SCAN) on a crystal of Ti2GaTc relaxed with PBEsol.

The space group is Fm-3m (No. 225) and the conventional cell measures 6.1828, 6.1828 and 6.1828 Å, with angles of 90.00, 90.00 and 90.00 degrees. The asymmetric unit holds Ti at (0.2500, 0.2500, 0.2500), Ga at (0.0000, 0.0000, 0.0000) and Tc at (0.0000, 0.0000, 0.5000).

For the density of states at the Fermi level, the calculation gives 1.7 states/eV/f.u.

=====

VASP calculation (SCAN) on a crystal of Ti3GaTc relaxed with PBEsol.

The space group is Pm-3m (No. 221) and the conventional cell measures 4.5349, 4.5349 and 4.5349 Å, with angles of 90.00, 90.00 and 90.00 degrees. The asymmetric unit holds Ti at (0.0000, 0.0000, 0.5000), Ga at (0.0000, 0.0000, 0.0000) and Tc at (0.5000, 0.5000, 0.5000).

For the density of states at the Fermi level, the calculation gives 4.6 states/eV/f.u.

=====

VASP calculation (SCAN) on a crystal of TiGa3Tc relaxed with PBEsol.

The space group is Pm-3m (No. 221) and the conventional cell measures 4.7154, 4.7154 and 4.7154 Å, with angles of 90.00, 90.00 and 90.00 degrees. The asymmetric unit holds Ti at (0.0000, 0.0000, 0.0000), Ga at (0.0000, 0.0000, 0.5000) and Tc at (0.5000, 0.5000, 0.5000).

For the density of states at the Fermi level, the calculation gives 1.7 states/eV/f.u.

=====

VASP calculation (SCAN) on a crystal of TiGaTc relaxed with PBEsol.

The space group is I4mm (No. 107) and the conventional cell measures 3.2180, 3.2180 and 8.4076 Å, with angles of 90.00, 90.00 and 90.00 degrees. The asymmetric unit holds Ti at (0.0000, 0.0000, 0.0000), Ga at (0.0000, 0.0000, 0.3223) and Tc at (0.0000, 0.0000, 0.6545).

For the density of states at the Fermi level, the calculation gives 0.1 states/eV/f.u.

=====

Formation energy from the elements, record by record: -74.04; -58.05; -56.72; 86.65; 96.03; -61.67 kJ per mole of atoms